A plane-wave DFT calculation with PBE with a Hubbard U was carried out for a geometry-optimized Mn2OsF structure.

Lattice parameters (Å, degrees): 4.469 4.469 4.469 60.00 60.00 60.00
Positions (direct):
Mn 0.250 0.250 0.250
Mn 0.750 0.750 0.750
Os 0.000 0.000 0.000
F 0.500 0.500 0.500

Output
Symmetry ... Fm-3m (225)
Relative energy among the computed polymorphs ... 264 meV/atom
DOS at the Fermi energy ... 0.758 states/eV per atom